1.
Dy3Mg7Sc2: optimized geometry, PBE.

The structure belongs to space group Cmmm (No. 65); the cell edges are 5.1023, 23.6849 and 5.2867 Å and the angles 90.00°, 90.00° and 90.00°. The inequivalent atoms are Dy at (0.0000, 0.0000, 0.0000), Dy at (0.0000, 0.1674, 0.0000), Mg at (0.0000, 0.0777, 0.5000), Mg at (0.0000, 0.2288, 0.5000), Mg at (0.0000, 0.4223, 0.0000), Mg at (0.0000, 0.5000, 0.5000) and Sc at (0.0000, 0.3555, 0.5000).

2.
Dy2MgSc: optimized geometry, PBE.

The structure belongs to space group P4/mmm (No. 123); the cell edges are 3.5650, 3.5650 and 8.7657 Å and the angles 90.00°, 90.00° and 90.00°. The inequivalent atoms are Dy at (0.0000, 0.0000, 0.2504), Mg at (0.5000, 0.5000, 0.0000) and Sc at (0.5000, 0.5000, 0.5000).

| no. | energy of formation (eV/atom) |
| --- | --- |
| 1 | 0.133 |
| 2 | -0.012 |